Al2SiNi8 at its PBEsol-relaxed geometry, computed with meta-GGA SCAN.

Cell lengths 3.554, 3.554, 9.772 Å; angles 90.00, 90.00, 90.00 degrees
Sites, in units of the cell vectors:
Al 0.000 0.000 0.176
Al 0.000 0.000 0.824
Si 0.000 0.000 0.500
Ni 0.000 0.500 0.000
Ni 0.000 0.500 0.359
Ni 0.000 0.500 0.641
Ni 0.500 0.000 0.000
Ni 0.500 0.000 0.359
Ni 0.500 0.000 0.641
Ni 0.500 0.500 0.177
Ni 0.500 0.500 0.823

***

Al2SiNi5 at its PBEsol-relaxed geometry, computed with meta-GGA SCAN.

Cell lengths 4.895, 9.611, 3.754 Å; angles 90.00, 90.00, 90.00 degrees
Sites, in units of the cell vectors:
Al 0.166 0.143 0.000
Al 0.334 0.643 0.000
Al 0.666 0.357 0.000
Al 0.834 0.857 0.000
Si 0.000 0.500 0.500
Si 0.500 0.000 0.500
Ni 0.000 0.000 0.500
Ni 0.081 0.740 0.500
Ni 0.179 0.396 0.000
Ni 0.321 0.896 0.000
Ni 0.419 0.240 0.500
Ni 0.500 0.500 0.500
Ni 0.581 0.760 0.500
Ni 0.679 0.104 0.000
Ni 0.821 0.604 0.000
Ni 0.919 0.260 0.500

Output
The calculation puts the distance to the lowest polymorph of the same formula at 0 meV per atom.

***

AlSiNi at its PBEsol-relaxed geometry, computed with meta-GGA SCAN.

Cell lengths 2.775, 3.512, 7.724 Å; angles 90.00, 90.00, 90.00 degrees
Sites, in units of the cell vectors:
Al 0.000 0.000 0.000
Al 0.500 0.500 0.500
Si 0.000 0.000 0.322
Si 0.500 0.500 0.822
Ni 0.000 0.000 0.671
Ni 0.500 0.500 0.171

***

AlSiNi2 at its PBEsol-relaxed geometry, computed with meta-GGA SCAN.

Cell lengths 2.822, 10.276, 6.475 Å; angles 90.00, 90.00, 90.00 degrees
Sites, in units of the cell vectors:
Al 0.000 0.024 0.250
Al 0.000 0.976 0.750
Al 0.500 0.476 0.750
Al 0.500 0.524 0.250
Si 0.000 0.247 0.750
Si 0.000 0.753 0.250
Si 0.500 0.253 0.250
Si 0.500 0.747 0.750
Ni 0.000 0.371 0.042
Ni 0.000 0.371 0.458
Ni 0.000 0.629 0.542
Ni 0.000 0.629 0.958
Ni 0.500 0.129 0.542
Ni 0.500 0.129 0.958
Ni 0.500 0.871 0.042
Ni 0.500 0.871 0.458

***

AlSiNi2 at its PBEsol-relaxed geometry, computed with meta-GGA SCAN.

Cell lengths 8.370, 2.847, 3.983 Å; angles 90.00, 106.04, 90.00 degrees
Sites, in units of the cell vectors:
Al 0.000 0.000 0.000
Al 0.500 0.500 0.000
Si 0.263 0.500 0.360
Si 0.763 0.000 0.360
Ni 0.257 0.000 0.852
Ni 0.496 0.000 0.493
Ni 0.757 0.500 0.852
Ni 0.996 0.500 0.493

***

Al2SiNi2 at its PBEsol-relaxed geometry, computed with meta-GGA SCAN.

Cell lengths 3.902, 3.902, 4.887 Å; angles 90.00, 90.00, 120.00 degrees
Sites, in units of the cell vectors:
Al 0.333 0.667 0.353
Al 0.667 0.333 0.647
Si 0.000 0.000 0.000
Ni 0.333 0.667 0.854
Ni 0.667 0.333 0.146

Output
The calculation puts the distance to the lowest polymorph of the same formula at 0 meV per atom.

***

Al2Si2Ni at its PBEsol-relaxed geometry, computed with meta-GGA SCAN.

Cell lengths 3.761, 3.832, 10.612 Å; angles 90.00, 90.00, 90.00 degrees
Sites, in units of the cell vectors:
Al 0.000 0.000 0.142
Al 0.000 0.000 0.858
Al 0.500 0.500 0.358
Al 0.500 0.500 0.642
Si 0.000 0.000 0.378
Si 0.000 0.000 0.622
Si 0.500 0.500 0.122
Si 0.500 0.500 0.878
Ni 0.000 0.500 0.000
Ni 0.500 0.000 0.500

***

AlSiNi2 at its PBEsol-relaxed geometry, computed with meta-GGA SCAN.

Cell lengths 3.856, 3.856, 7.480 Å; angles 90.00, 90.00, 120.00 degrees
Sites, in units of the cell vectors:
Al 0.333 0.667 0.404
Al 0.667 0.333 0.596
Si 0.000 0.000 0.173
Si 0.000 0.000 0.827
Ni 0.333 0.667 0.082
Ni 0.333 0.667 0.733
Ni 0.667 0.333 0.267
Ni 0.667 0.333 0.918

***

| no. | VASP energy (eV/atom) | total magnetic moment (μB per formula unit) | volume (Å³ per cell) |
| --- | --- | --- | --- |
| 1 | -14.4974 | 1.51 | 123 |
| 2 | -13.9333 | 0.02 | 177 |
| 3 | -11.5071 | 0.00 | 75 |
| 4 | -13.0832 | 0.00 | 188 |
| 5 | -13.1006 | 0.00 | 91 |
| 6 | -12.2078 | 0.00 | 64 |
| 7 | -10.5852 | 0.00 | 153 |
| 8 | -13.0965 | 0.00 | 96 |